## Zr4Re (GGA-PBE)

Data for a relaxed Zr4Re crystal.

Lattice parameters (Å, degrees): 5.062 5.062 5.062 90.00 90.00 90.00
Fractional coordinates of all 5 atoms:
Zr 0.000 0.000 0.000
Zr 0.000 0.500 0.500
Zr 0.500 0.000 0.500
Zr 0.500 0.500 0.000
Re 0.500 0.500 0.500

- energy relative to the elements (eV/atom) = 0.57
- magnetization (μB per formula unit) = 0.00
- excess energy over the best structure of this formula in the dataset (eV per formula unit) = 3.47
- N(E_F) (states/eV/cell) = 8.4

***

## LaSb3Pt3 (GGA-PBE)

Data for a relaxed LaSb3Pt3 crystal.

Lattice parameters (Å, degrees): 7.287 7.287 7.287 90.00 90.00 90.00
Fractional coordinates of all 14 atoms:
La 0.000 0.000 0.000
La 0.500 0.500 0.500
Sb 0.000 0.250 0.500
Sb 0.000 0.750 0.500
Sb 0.250 0.500 0.000
Sb 0.500 0.000 0.250
Sb 0.500 0.000 0.750
Sb 0.750 0.500 0.000
Pt 0.000 0.500 0.250
Pt 0.000 0.500 0.750
Pt 0.250 0.000 0.500
Pt 0.500 0.250 0.000
Pt 0.500 0.750 0.000
Pt 0.750 0.000 0.500

- energy relative to the elements, uncorrected (meV per atom) = -438.2
- magnetization (μB per formula unit) = 0.00
- N(E_F) (states/eV/cell) = 10.2

***

## Zr4Ga5H2 (GGA-PBE)

Data for a relaxed Zr4Ga5H2 crystal.

Lattice parameters (Å, degrees): 9.043 9.043 9.043 160.56 130.06 54.08
Fractional coordinates of all 11 atoms:
Zr 0.177 0.177 0.000
Zr 0.187 0.500 0.687
Zr 0.813 0.500 0.313
Zr 0.823 0.823 0.000
Ga 0.162 0.335 0.827
Ga 0.493 0.665 0.827
Ga 0.500 0.000 0.500
Ga 0.507 0.335 0.173
Ga 0.838 0.665 0.173
H 0.053 0.053 0.000
H 0.947 0.947 0.000

- magnetization (μB per formula unit) = 0.00
- VASP energy (eV per atom) = -5.34
- N(E_F) (states/eV/cell) = 5.6